VASP calculation (PBE with a Hubbard U) on a relaxed MnNiIO2 crystal.

As for the density of states at the Fermi level: 0.4192 states/eV/atom. The total magnetization is 4.0 Bohr magnetons per cell. As for the uncorrected energy: -4.64 eV per atom.

It has space group P4/mmm (No. 123), with a = 3.759 Å, b = 3.759 Å, c = 6.784 Å, α = 90.00°, β = 90.00° and γ = 90.00°. The distinct sites, in fractional coordinates, are Mn at (0.000, 0.000, 0.000), Ni at (0.500, 0.500, 0.500), I at (0.000, 0.000, 0.500) and O at (0.000, 0.500, 0.000).